Entry 1:
DFT (GGA-PBE) results for a relaxed structure of BaTmNi.

abc: 4.9673 4.9673 4.9673
angles: 60.00 60.00 60.00
Last column: nearest neighbours and their distance in Å.
Sites, in units of the cell vectors:
Ba 0.0000 0.0000 0.0000  4 Ni 3.04, 4 Tm 3.04
Tm 0.2500 0.2500 0.2500  4 Ba 3.04
Ni 0.7500 0.7500 0.7500  4 Ba 3.04

## Properties
Energy above the lowest structure with this stoichiometry ... 278 meV/atom
Calculated volume ... 28.89 Å³ per atom


Entry 2:
DFT (GGA-PBE) results for a relaxed structure of BaTmNi.

abc: 4.9732 4.9732 4.9732
angles: 60.00 60.00 60.00
Last column: nearest neighbours and their distance in Å.
Sites, in units of the cell vectors:
Ba 0.0000 0.0000 0.0000  4 Tm 3.05
Tm 0.2500 0.2500 0.2500  4 Ni 3.05, 4 Ba 3.05
Ni 0.5000 0.5000 0.5000  4 Tm 3.05

## Properties
Energy above the lowest structure with this stoichiometry ... 0 meV/atom
Calculated volume ... 28.99 Å³ per atom


Entry 3:
DFT (GGA-PBE) results for a relaxed structure of BaNiW2.

abc: 4.7486 4.7486 4.7486
angles: 60.00 60.00 60.00
Last column: nearest neighbours and their distance in Å.
Sites, in units of the cell vectors:
Ba 0.0000 0.0000 0.0000  4 Ni 2.91, 4 W 2.91
Ni 0.7500 0.7500 0.7500  4 Ba 2.91, 4 W 2.91
W 0.2500 0.2500 0.2500  4 Ba 2.91, 4 W 2.91
W 0.5000 0.5000 0.5000  4 Ni 2.91, 4 W 2.91

## Properties
Calculated volume ... 18.93 Å³ per atom
Uncorrected energy ... -28.31 eV/cell


Entry 4:
DFT (GGA-PBE) results for a relaxed structure of BaZr2Ni.

abc: 5.1177 5.1177 5.1177
angles: 60.00 60.00 60.00
Last column: nearest neighbours and their distance in Å.
Sites, in units of the cell vectors:
Ba 0.0000 0.0000 0.0000  4 Ni 3.13, 4 Zr 3.13
Zr 0.2500 0.2500 0.2500  4 Zr 3.13, 4 Ba 3.13
Zr 0.5000 0.5000 0.5000  4 Ni 3.13, 4 Zr 3.13
Ni 0.7500 0.7500 0.7500  4 Zr 3.13, 4 Ba 3.13

## Properties
Calculated volume ... 23.69 Å³ per atom
Uncorrected energy ... -21.88 eV/cell


Entry 5:
DFT (GGA-PBE) results for a relaxed structure of Ba2Zr2Ni3.

abc: 8.9599 8.9599 8.9599
angles: 32.22 32.22 32.22
Last column: nearest neighbours and their distance in Å.
Sites, in units of the cell vectors:
Ba 0.0000 0.0000 0.0000  4 Ni 2.88-2.94, 3 Zr 2.88
Ba 0.4593 0.4593 0.4593  2 Ni 2.76-3.04
Zr 0.2429 0.2429 0.2429  1 Ni 2.47
Zr 0.6581 0.6581 0.6581  1 Ni 2.30
Ni 0.3399 0.3399 0.3399  1 Zr 2.47
Ni 0.5678 0.5678 0.5678  1 Zr 2.30
Ni 0.8845 0.8845 0.8845  3 Ni 2.90, 3 Zr 2.94, 1 Ba 2.94

## Properties
Calculated volume ... 25.96 Å³ per atom
Uncorrected energy ... -35.67 eV/cell


Entry 6:
DFT (GGA-PBE) results for a relaxed structure of BaNp.

abc: 4.8984 4.8984 4.8984
angles: 60.00 60.00 60.00
Last column: nearest neighbours and their distance in Å.
Sites, in units of the cell vectors:
Ba 0.0000 0.0000 0.0000  6 Np 3.46
Np 0.5000 0.5000 0.5000  6 Ba 3.46

## Properties
Energy above the lowest structure with this stoichiometry ... 571 meV/atom
Calculated volume ... 41.56 Å³ per atom


Entry 7:
DFT (GGA-PBE) results for a relaxed structure of BaNp.

abc: 4.9388 4.9388 4.9388
angles: 60.00 60.00 60.00
Last column: nearest neighbours and their distance in Å.
Sites, in units of the cell vectors:
Ba 0.0000 0.0000 0.0000  4 Np 3.02
Np 0.7500 0.7500 0.7500  4 Ba 3.02

## Properties
Energy above the lowest structure with this stoichiometry ... 1269 meV/atom
Calculated volume ... 42.59 Å³ per atom


Entry 8:
DFT (GGA-PBE) results for a relaxed structure of BaNp.

abc: 3.6355 3.6355 6.5998
angles: 90.00 90.00 120.00
Last column: nearest neighbours and their distance in Å.
Sites, in units of the cell vectors:
Ba 0.0000 0.0000 0.0000  6 Ba 3.64, 6 Np 3.91
Np 0.6667 0.3333 0.5000  6 Np 3.64, 6 Ba 3.91

## Properties
Energy above the lowest structure with this stoichiometry ... 0 meV/atom
Calculated volume ... 37.78 Å³ per atom


Among the records above, which one has the lowest calculated volume? BaNiW2


Which value of calculated volume does entry 4 give? 23.69 Å³ per atom


What is the formula in the eighth record? BaNp